[1]
KBa2Li: PBEsol geometry, SCAN.

Its calculated volume is 209 Å³ per cell. The calculation puts the density of states at the Fermi level at 0.96 states/eV per atom. The formation energy is 0.08 eV/atom.

It has space group Pm (No. 6), with a = 4.336 Å, b = 4.334 Å, c = 11.100 Å, α = 90.00°, β = 90.06° and γ = 90.00°. The inequivalent atoms are K at (0.000, 0.000, 0.000), Ba at (0.499, 0.500, 0.308), Ba at (0.999, 0.000, 0.599) and Li at (0.499, 0.500, 0.795).

[2]
K2BaLi: PBEsol geometry, SCAN.

Its calculated volume is 451 Å³ per cell. The calculation puts the density of states at the Fermi level at 0.85 states/eV per atom. The energy above the lowest structure with this stoichiometry is 125 meV/atom. The formation energy is 0.20 eV/atom.

It has space group Cmmm (No. 65), with a = 8.063 Å, b = 13.037 Å, c = 4.289 Å, α = 90.00°, β = 90.00° and γ = 90.00°. The inequivalent atoms are K at (0.250, 0.250, 0.000), Ba at (0.000, 0.000, 0.500) and Li at (0.000, 0.500, 0.500).

[3]
KBa2Li: PBEsol geometry, SCAN.

Its calculated volume is 206 Å³ per cell. The calculation puts the density of states at the Fermi level at 0.99 states/eV per atom. The formation energy is 0.05 eV/atom.

It has space group P4/mmm (No. 123), with a = 4.286 Å, b = 4.286 Å, c = 11.233 Å, α = 90.00°, β = 90.00° and γ = 90.00°. The inequivalent atoms are K at (0.000, 0.000, 0.000), Ba at (0.500, 0.500, 0.313) and Li at (0.000, 0.000, 0.500).

[4]
KBaLi4: PBEsol geometry, SCAN.

Its calculated volume is 813 Å³ per cell. The calculation puts the density of states at the Fermi level at 0.65 states/eV per atom. The formation energy is 0.07 eV/atom.

It has space group F-43m (No. 216), with a = 9.333 Å, b = 9.333 Å, c = 9.333 Å, α = 90.00°, β = 90.00° and γ = 90.00°. The inequivalent atoms are K at (0.000, 0.000, 0.000), Ba at (0.250, 0.250, 0.750) and Li at (0.125, 0.125, 0.375).

[5]
KBa2Li2: PBEsol geometry, SCAN.

Its calculated volume is 458 Å³ per cell. The calculation puts the density of states at the Fermi level at 0.89 states/eV per atom. The energy above the lowest structure with this stoichiometry is 50 meV/atom. The formation energy is 0.12 eV/atom.

It has space group I4/mmm (No. 139), with a = 4.133 Å, b = 4.133 Å, c = 26.794 Å, α = 90.00°, β = 90.00° and γ = 90.00°. The inequivalent atoms are K at (0.000, 0.000, 0.000), Ba at (0.000, 0.000, 0.364) and Li at (0.000, 0.500, 0.250).

[6]
K2BaLi: PBEsol geometry, SCAN.

Its calculated volume is 218 Å³ per cell. The calculation puts the density of states at the Fermi level at 0.94 states/eV per atom. The energy above the lowest structure with this stoichiometry is 0 meV/atom. The formation energy is 0.07 eV/atom.

It has space group Pm (No. 6), with a = 4.345 Å, b = 4.349 Å, c = 11.524 Å, α = 90.00°, β = 90.02° and γ = 90.00°. The inequivalent atoms are K at (0.000, 0.000, 0.000), K at (0.496, 0.500, 0.310), Ba at (0.497, 0.500, 0.700) and Li at (0.996, 0.000, 0.510).

[7]
KBa2Li: PBEsol geometry, SCAN.

Its calculated volume is 420 Å³ per cell. The calculation puts the density of states at the Fermi level at 1.12 states/eV per atom. The formation energy is 0.15 eV/atom.

It has space group I-4m2 (No. 119), with a = 5.690 Å, b = 5.690 Å, c = 12.976 Å, α = 90.00°, β = 90.00° and γ = 90.00°. The inequivalent atoms are K at (0.000, 0.000, 0.000), Ba at (0.000, 0.000, 0.500), Ba at (0.000, 0.500, 0.750) and Li at (0.000, 0.500, 0.250).

[8]
KBa2Li2: PBEsol geometry, SCAN.

Its calculated volume is 467 Å³ per cell. The calculation puts the density of states at the Fermi level at 0.76 states/eV per atom. The energy above the lowest structure with this stoichiometry is 0 meV/atom. The formation energy is 0.07 eV/atom.

It has space group P4/mbm (No. 127), with a = 9.742 Å, b = 9.742 Å, c = 4.923 Å, α = 90.00°, β = 90.00° and γ = 90.00°. The inequivalent atoms are K at (0.000, 0.000, 0.000), Ba at (0.168, 0.332, 0.500) and Li at (0.117, 0.617, 0.000).

[9]
KBa2Mg: PBEsol geometry, SCAN.

Its calculated volume is 391 Å³ per cell. The calculation puts the density of states at the Fermi level at 0.96 states/eV per atom. The formation energy is 0.11 eV/atom.

It has space group Cmmm (No. 65), with a = 8.994 Å, b = 9.033 Å, c = 4.810 Å, α = 90.00°, β = 90.00° and γ = 90.00°. The inequivalent atoms are K at (0.000, 0.000, 0.000), Ba at (0.250, 0.250, 0.500) and Mg at (0.000, 0.500, 0.000).

[10]
KBaMg4: PBEsol geometry, SCAN.

Its calculated volume is 786 Å³ per cell. The calculation puts the density of states at the Fermi level at 0.67 states/eV per atom. The formation energy is 0.02 eV/atom.

It has space group F-43m (No. 216), with a = 9.229 Å, b = 9.229 Å, c = 9.229 Å, α = 90.00°, β = 90.00° and γ = 90.00°. The inequivalent atoms are K at (0.000, 0.000, 0.000), Ba at (0.250, 0.250, 0.250) and Mg at (0.125, 0.125, 0.625).

[11]
KBa2Mg: PBEsol geometry, SCAN.

Its calculated volume is 207 Å³ per cell. The calculation puts the density of states at the Fermi level at 0.87 states/eV per atom. The formation energy is 0.00 eV/atom.

It has space group P4/mmm (No. 123), with a = 4.324 Å, b = 4.324 Å, c = 11.075 Å, α = 90.00°, β = 90.00° and γ = 90.00°. The inequivalent atoms are K at (0.000, 0.000, 0.000), Ba at (0.500, 0.500, 0.314) and Mg at (0.000, 0.000, 0.500).

[12]
K2BaMoO: PBEsol geometry, SCAN.

Its calculated volume is 151 Å³ per cell. The calculation puts the density of states at the Fermi level at 0.78 states/eV per atom. The uncorrected formation energy comes out at 0.02 eV/atom.

It has space group P4/mmm (No. 123), with a = 6.222 Å, b = 6.222 Å, c = 3.906 Å, α = 90.00°, β = 90.00° and γ = 90.00°. The inequivalent atoms are K at (0.000, 0.500, 0.000), Ba at (0.000, 0.000, 0.500), Mo at (0.500, 0.500, 0.500) and O at (0.500, 0.500, 0.000).